# 1
Compound: Li5Tl2PdAu2
Source: the Alexandria database
Functional: PBE
Structure: relaxed

It has space group P4/mbm (No. 127), with a = 10.512 Å, b = 10.512 Å, c = 3.335 Å, α = 90.00°, β = 90.00° and γ = 90.00°. The inequivalent atoms are Li at (0.000, 0.500, 0.000), Li at (0.062, 0.185, 0.000), Tl at (0.168, 0.668, 0.500), Pd at (0.000, 0.000, 0.500) and Au at (0.135, 0.365, 0.500).

As for the formation enthalpy at 0 K: -307 kJ/mol of formula units.

# 2
Compound: LiTmPdAu
Source: the Alexandria database
Functional: PBE
Structure: relaxed

It has space group P4mm (No. 99), with a = 3.384 Å, b = 3.384 Å, c = 6.376 Å, α = 90.00°, β = 90.00° and γ = 90.00°. The inequivalent atoms are Li at (0.000, 0.000, 0.000), Tm at (0.000, 0.000, 0.485), Pd at (0.500, 0.500, 0.227) and Au at (0.500, 0.500, 0.777).

As for the formation enthalpy at 0 K: -286 kJ/mol of formula units. Its energy above the lowest structure with this stoichiometry is 0 meV/atom.

# 3
Compound: LiTmPdAu
Source: the Alexandria database
Functional: PBE
Structure: relaxed

It has space group F-43m (No. 216), with a = 6.698 Å, b = 6.698 Å, c = 6.698 Å, α = 90.00°, β = 90.00° and γ = 90.00°. The inequivalent atoms are Li at (0.000, 0.000, 0.000), Tm at (0.000, 0.000, 0.500), Pd at (0.250, 0.250, 0.250) and Au at (0.250, 0.250, 0.750).

As for the formation enthalpy at 0 K: -280 kJ/mol of formula units. Its energy above the lowest structure with this stoichiometry is 18 meV/atom.

# 4
Compound: Li2Zn2Pd5Au
Source: the Alexandria database
Functional: PBE
Structure: relaxed

It has space group P4/mbm (No. 127), with a = 9.081 Å, b = 9.081 Å, c = 3.948 Å, α = 90.00°, β = 90.00° and γ = 90.00°. The inequivalent atoms are Li at (0.173, 0.327, 0.000), Zn at (0.127, 0.627, 0.000), Pd at (0.000, 0.500, 0.500), Pd at (0.079, 0.797, 0.500) and Au at (0.000, 0.000, 0.000).

As for the formation enthalpy at 0 K: -325 kJ/mol of formula units.

Q: Which formula does entry 3 have?
A: LiTmPdAu